Cu7AgO12: relaxed, PBE-GGA.

Cell lengths 7.325, 7.325, 7.325 Å; angles 90.00, 90.00, 90.00 degrees
Space group Im-3 (No. 204)
One atom of each set of equivalent atoms:
1 Cu 0.000 0.000 0.500 (multiplicity 6)
2 Cu 0.250 0.250 0.250 (multiplicity 8)
3 Ag 0.000 0.000 0.000 (multiplicity 2)
4 O 0.000 0.174 0.315 (multiplicity 24)

Computed properties:
formation energy without anion corrections: -28.97 kJ/mol of atoms
magnetization: 3.97 μB/cell
calculated volume: 196.5 Å³/f.u.